VASP calculation (PBE) on a relaxed ReTeCl crystal.

Values from the calculation:
Calculated density: 9263 kg/m3

Unit cell a=6.3033 b=6.3033 c=6.3033 alpha=90.00 beta=90.00 gamma=90.00
Space group F-43m (No. 216)
Inequivalent atoms, fractional coordinates:
Re1 0.0000 0.0000 0.0000 [4 per cell]
Te1 0.2500 0.2500 0.2500 [4 per cell]
Cl1 0.2500 0.2500 0.7500 [4 per cell]

VASP calculation (PBE) on a relaxed ReTe2Cl crystal.

Values from the calculation:
Calculated density: 6145 kg/m3

Unit cell a=6.5874 b=3.3814 c=6.6141 alpha=90.00 beta=118.99 gamma=90.00
Space group Pm (No. 6)
Inequivalent atoms, fractional coordinates:
Re1 0.0000 0.0000 0.0000 [1 per cell]
Te1 0.0483 0.5000 0.7299 [1 per cell]
Te2 0.3791 0.0000 0.3594 [1 per cell]
Cl1 0.7434 0.5000 0.0325 [1 per cell]

VASP calculation (PBE) on a relaxed ReTe2Cl crystal.

Values from the calculation:
Calculated density: 9033 kg/m3

Unit cell a=4.3003 b=4.3003 c=4.7403 alpha=90.00 beta=90.00 gamma=90.00
Space group P4/mmm (No. 123)
Inequivalent atoms, fractional coordinates:
Re1 0.0000 0.0000 0.0000 [1 per cell]
Te1 0.0000 0.5000 0.5000 [2 per cell]
Cl1 0.5000 0.5000 0.0000 [1 per cell]

no.,energy relative to the lowest polymorph listed for this composition (eV per atom),raw formation energy (eV per formula unit),size of the total moment (μB per cell)
1,0.483,1.3,0.0
2,0.079,0.6,0.0
3,1.139,4.8,1.5